Record 1
## TbTm5Sn4 (PBE)

Data for crystalline TbTm5Sn4 at its relaxed geometry.

Geometry as CIF:
```
data_TbTm5Sn4
_space_group_name_H-M_alt 'C 1 2/m 1'
_space_group_IT_number 12
_cell_length_a 17.503
_cell_length_b 4.484
_cell_length_c 7.737
_cell_angle_alpha 90.00
_cell_angle_beta 101.21
_cell_angle_gamma 90.00
loop_
_space_group_symop_operation_xyz
'x,y,z'
'-x,-y,-z'
'-x,y,-z'
'x,-y,z'
'x+1/2,y+1/2,z'
'-x+1/2,-y+1/2,-z'
'-x+1/2,y+1/2,-z'
'x+1/2,-y+1/2,z'
loop_
_atom_site_label
_atom_site_fract_x
_atom_site_fract_y
_atom_site_fract_z
_atom_site_occupancy
Tb1 0.000 0.000 0.000 1
Tm1 0.000 0.000 0.500 1
Tm2 0.139 0.500 0.727 1
Tm3 0.210 0.500 0.316 1
Sn1 0.038 0.500 0.279 1
Sn2 0.188 0.000 0.018 1
```

As for the density of states at the Fermi level: 20.66 states/eV per cell. The value obtained for the calculated volume is 595.63 Å³ per cell.

---

Record 2
## Tb4Tm3Sn4 (PBE)

Data for crystalline Tb4Tm3Sn4 at its relaxed geometry.

Geometry as CIF:
```
data_Tb4Tm3Sn4
_space_group_name_H-M_alt 'I m m m'
_space_group_IT_number 71
_space_group_name_Hall '-I 2 2'
_cell_length_a 3.502
_cell_length_b 9.512
_cell_length_c 18.683
_cell_angle_alpha 90.00
_cell_angle_beta 90.00
_cell_angle_gamma 90.00
loop_
_atom_site_label
_atom_site_fract_x
_atom_site_fract_y
_atom_site_fract_z
_atom_site_occupancy
Tb1 0.000 0.181 0.162 1
Tm1 0.000 0.000 0.408 1
Tm2 0.000 0.500 0.500 1
Sn1 0.000 0.281 0.000 1
Sn2 0.000 0.500 0.227 1
```

As for the density of states at the Fermi level: 22.79 states/eV per cell. The value obtained for the calculated volume is 622.33 Å³ per cell.

---

Record 3
## TbTmSn2 (PBE)

Data for crystalline TbTmSn2 at its relaxed geometry.

Geometry as CIF:
```
data_TbTmSn2
_space_group_name_H-M_alt 'A m m 2'
_space_group_IT_number 38
_cell_length_a 4.296
_cell_length_b 4.468
_cell_length_c 11.370
_cell_angle_alpha 90.00
_cell_angle_beta 90.00
_cell_angle_gamma 90.00
loop_
_space_group_symop_operation_xyz
'x,y,z'
'-x,-y,z'
'-x,y,z'
'x,-y,z'
'x,y+1/2,z+1/2'
'-x,-y+1/2,z+1/2'
'-x,y+1/2,z+1/2'
'x,-y+1/2,z+1/2'
loop_
_atom_site_label
_atom_site_fract_x
_atom_site_fract_y
_atom_site_fract_z
_atom_site_occupancy
Tb1 0.000 0.000 0.000 1
Tm1 0.500 0.000 0.267 1
Sn1 0.000 0.000 0.728 1
Sn2 0.500 0.000 0.539 1
```

As for the density of states at the Fermi level: 5.14 states/eV per cell. The value obtained for the calculated volume is 218.23 Å³ per cell.

---

The records above yield energy of formation from the pure elements values of -0.375; -0.513; -0.701 eV per atom, respectively.